A geometry-optimized Pr2Sm7Mg2 structure, computed with PBE-GGA.

Results
For the calculated density, the calculation gives 6.36 g/cm³. The spin magnetization comes out at 0.000 μB per formula unit. The value obtained for the formation energy is 0.720 eV per formula unit. For the density of states at the Fermi level, the calculation gives 1.477 states/eV/atom.

Cell lengths 8.8910, 9.8552, 8.6970 Å; angles 90.00, 108.65, 90.00 degrees
Closest atoms and distances in Å follow each position.
Space group C2/m (No. 12)
Inequivalent atoms, fractional coordinates:
Pr 0.0000 0.1807 0.0000  2 Mg 3.29, 6 Sm 3.47-3.56, 1 Pr 3.56
Sm 0.0000 0.5000 0.5000  2 Mg 3.25, 2 Sm 3.41
Sm 0.1418 0.5000 0.9142  2 Sm 3.32-3.41, 1 Mg 3.51, 4 Pr 3.51-3.56
Sm 0.2058 0.1778 0.6759  3 Mg 3.31-3.56, 1 Pr 3.47, 2 Sm 3.50-3.68
Mg 0.1160 0.0000 0.3352  8 Sm 3.25-3.56, 2 Pr 3.29